Arrangement 1

Density functional theory data (PBE) for Pr8ZnPd2 after structural relaxation. Values from VASP.

As for the space group: C2/m. As for the density of states at the Fermi level: 0.965 states/eV per atom. The calculation puts the volume at 330.4 Å³ per cell. As for the total magnetic moment: 0.00 Bohr magnetons per cell.

Structure (Quantum ESPRESSO input):
```
&SYSTEM
  ibrav = 0, nat = 11, ntyp = 3
/
ATOMIC_SPECIES
Pr 140.91 Pr.upf
Zn 65.41 Zn.upf
Pd 106.42 Pd.upf
CELL_PARAMETERS angstrom
9.384 -2.668 0.000
9.384 2.668 0.000
-2.319 0.000 6.597
ATOMIC_POSITIONS crystal
Pr 0.028 0.028 0.285
Pr 0.200 0.200 0.838
Pr 0.326 0.326 0.494
Pr 0.407 0.407 0.027
Pr 0.593 0.593 0.973
Pr 0.674 0.674 0.506
Pr 0.800 0.800 0.162
Pr 0.972 0.972 0.715
Zn 0.500 0.500 0.500
Pd 0.171 0.171 0.231
Pd 0.829 0.829 0.769
```

Arrangement 2

Density functional theory data (PBE) for Pr8ZnPd2 after structural relaxation. Values from VASP.

As for the space group: Cm. As for the density of states at the Fermi level: 1.311 states/eV per atom. The calculation puts the volume at 344.4 Å³ per cell. As for the total magnetic moment: 0.00 Bohr magnetons per cell.

Structure (Quantum ESPRESSO input):
```
&SYSTEM
  ibrav = 0, nat = 11, ntyp = 3
/
ATOMIC_SPECIES
Pr 140.91 Pr.upf
Zn 65.41 Zn.upf
Pd 106.42 Pd.upf
CELL_PARAMETERS angstrom
4.369 -6.990 0.000
4.369 6.990 0.000
-1.791 0.000 5.638
ATOMIC_POSITIONS crystal
Pr 0.000 0.000 0.000
Pr 0.046 0.293 0.600
Pr 0.161 0.618 0.186
Pr 0.293 0.046 0.600
Pr 0.473 0.720 0.786
Pr 0.618 0.161 0.186
Pr 0.720 0.473 0.786
Pr 0.760 0.760 0.371
Zn 0.383 0.383 0.077
Pd 0.081 0.680 0.682
Pd 0.680 0.081 0.682
```

Which of them is most stable, and which least? Most stable: arrangement 1; least stable: arrangement 2.

Arrangement 1

Density functional theory data (PBE) for Pd4Pt after structural relaxation. Values from VASP.

As for the space group: I4/m. As for the density of states at the Fermi level: 2.387 states/eV per atom. The calculation puts the volume at 77.1 Å³ per cell. As for the total magnetic moment: 1.28 Bohr magnetons per cell.

Structure (Quantum ESPRESSO input):
```
&SYSTEM
  ibrav = 0, nat = 5, ntyp = 2
/
ATOMIC_SPECIES
Pd 106.42 Pd.upf
Pt 195.08 Pt.upf
CELL_PARAMETERS angstrom
-3.121 3.121 1.979
3.121 -3.121 1.979
3.121 3.121 -1.979
ATOMIC_POSITIONS crystal
Pd 0.100 0.701 0.801
Pd 0.299 0.100 0.399
Pd 0.701 0.900 0.601
Pd 0.900 0.299 0.199
Pt 0.500 0.500 0.000
```

Arrangement 2

Density functional theory data (PBE) for Pd4Pt after structural relaxation. Values from VASP.

As for the space group: Pm-3m. As for the density of states at the Fermi level: 1.625 states/eV per atom. The calculation puts the volume at 113.6 Å³ per cell. As for the total magnetic moment: 0.00 Bohr magnetons per cell.

Structure (Quantum ESPRESSO input):
```
&SYSTEM
  ibrav = 0, nat = 5, ntyp = 2
/
ATOMIC_SPECIES
Pd 106.42 Pd.upf
Pt 195.08 Pt.upf
CELL_PARAMETERS angstrom
4.843 0.000 0.000
0.000 4.843 0.000
0.000 0.000 4.843
ATOMIC_POSITIONS crystal
Pd 0.000 0.000 0.000
Pd 0.000 0.500 0.500
Pd 0.500 0.000 0.500
Pd 0.500 0.500 0.000
Pt 0.500 0.500 0.500
```

Which of them is most stable, and which least? Most stable: arrangement 1; least stable: arrangement 2.

Arrangement 1

Density functional theory data (PBE) for Pd5Pt after structural relaxation. Values from VASP.

As for the space group: P-6m2. As for the density of states at the Fermi level: 2.580 states/eV per atom. The calculation puts the volume at 93.1 Å³ per cell. As for the total magnetic moment: 1.49 Bohr magnetons per cell.

Structure (Quantum ESPRESSO input):
```
&SYSTEM
  ibrav = 0, nat = 6, ntyp = 2
/
ATOMIC_SPECIES
Pd 106.42 Pd.upf
Pt 195.08 Pt.upf
CELL_PARAMETERS angstrom
2.772 0.000 0.000
-1.386 2.400 0.000
0.000 0.000 13.985
ATOMIC_POSITIONS crystal
Pd 0.000 0.000 0.000
Pd 0.000 0.000 0.332
Pd 0.000 0.000 0.668
Pd 0.333 0.667 0.166
Pd 0.333 0.667 0.834
Pt 0.333 0.667 0.500
```

Arrangement 2

Density functional theory data (PBE) for Pd5Pt after structural relaxation. Values from VASP.

As for the space group: Cmmm. As for the density of states at the Fermi level: 2.245 states/eV per atom. The calculation puts the volume at 92.5 Å³ per cell. As for the total magnetic moment: 1.69 Bohr magnetons per cell.

Structure (Quantum ESPRESSO input):
```
&SYSTEM
  ibrav = 0, nat = 6, ntyp = 2
/
ATOMIC_SPECIES
Pd 106.42 Pd.upf
Pt 195.08 Pt.upf
CELL_PARAMETERS angstrom
1.969 -5.951 0.000
1.969 5.951 0.000
0.000 0.000 3.948
ATOMIC_POSITIONS crystal
Pd 0.000 0.000 0.000
Pd 0.167 0.833 0.500
Pd 0.334 0.666 0.000
Pd 0.666 0.334 0.000
Pd 0.833 0.167 0.500
Pt 0.500 0.500 0.500
```

Which of them is most stable, and which least? Most stable: arrangement 2; least stable: arrangement 1.

Arrangement 1

Density functional theory data (PBE) for PdPt2 after structural relaxation. Values from VASP.

As for the space group: Cmcm. As for the density of states at the Fermi level: 1.375 states/eV per atom. The calculation puts the volume at 97.4 Å³ per cell. As for the total magnetic moment: 0.00 Bohr magnetons per cell.

Structure (Quantum ESPRESSO input):
```
&SYSTEM
  ibrav = 0, nat = 6, ntyp = 2
/
ATOMIC_SPECIES
Pd 106.42 Pd.upf
Pt 195.08 Pt.upf
CELL_PARAMETERS angstrom
1.988 -4.501 0.000
1.988 4.501 0.000
0.000 0.000 5.444
ATOMIC_POSITIONS crystal
Pd 0.169 0.831 0.750
Pd 0.831 0.169 0.250
Pt 0.140 0.860 0.250
Pt 0.500 0.500 0.000
Pt 0.500 0.500 0.500
Pt 0.860 0.140 0.750
```

Arrangement 2

Density functional theory data (PBE) for PdPt2 after structural relaxation. Values from VASP.

As for the space group: Fd-3m. As for the density of states at the Fermi level: 2.046 states/eV per atom. The calculation puts the volume at 100.7 Å³ per cell. As for the total magnetic moment: 0.00 Bohr magnetons per cell.

Structure (Quantum ESPRESSO input):
```
&SYSTEM
  ibrav = 0, nat = 6, ntyp = 2
/
ATOMIC_SPECIES
Pd 106.42 Pd.upf
Pt 195.08 Pt.upf
CELL_PARAMETERS angstrom
0.000 3.693 3.693
3.693 0.000 3.693
3.693 3.693 0.000
ATOMIC_POSITIONS crystal
Pd 0.125 0.125 0.125
Pd 0.875 0.875 0.875
Pt 0.000 0.500 0.500
Pt 0.500 0.000 0.500
Pt 0.500 0.500 0.000
Pt 0.500 0.500 0.500
```

Which of them is most stable, and which least? Most stable: arrangement 1; least stable: arrangement 2.

Arrangement 1

Density functional theory data (PBE) for Pd4Pt3 after structural relaxation. Values from VASP.

As for the space group: C2/m. As for the density of states at the Fermi level: 1.515 states/eV per atom. The calculation puts the volume at 110.7 Å³ per cell. As for the total magnetic moment: 0.00 Bohr magnetons per cell.

Structure (Quantum ESPRESSO input):
```
&SYSTEM
  ibrav = 0, nat = 7, ntyp = 2
/
ATOMIC_SPECIES
Pd 106.42 Pd.upf
Pt 195.08 Pt.upf
CELL_PARAMETERS angstrom
6.681 -1.363 0.000
6.681 1.363 0.000
-3.072 0.000 6.075
ATOMIC_POSITIONS crystal
Pd 0.076 0.076 0.204
Pd 0.362 0.362 0.096
Pd 0.638 0.638 0.904
Pd 0.924 0.924 0.796
Pt 0.000 0.000 0.500
Pt 0.221 0.221 0.648
Pt 0.779 0.779 0.352
```

Arrangement 2

Density functional theory data (PBE) for Pd4Pt3 after structural relaxation. Values from VASP.

As for the space group: P6/mmm. As for the density of states at the Fermi level: 2.099 states/eV per atom. The calculation puts the volume at 115.5 Å³ per cell. As for the total magnetic moment: 0.01 Bohr magnetons per cell.

Structure (Quantum ESPRESSO input):
```
&SYSTEM
  ibrav = 0, nat = 7, ntyp = 2
/
ATOMIC_SPECIES
Pd 106.42 Pd.upf
Pt 195.08 Pt.upf
CELL_PARAMETERS angstrom
5.192 0.000 0.000
-2.596 4.496 0.000
0.000 0.000 4.946
ATOMIC_POSITIONS crystal
Pd 0.000 0.000 0.248
Pd 0.000 0.000 0.752
Pd 0.333 0.667 0.000
Pd 0.667 0.333 0.000
Pt 0.000 0.500 0.500
Pt 0.500 0.000 0.500
Pt 0.500 0.500 0.500
```

Which of them is most stable, and which least? Most stable: arrangement 1; least stable: arrangement 2.